Here is a relaxed structure of LiCa2Cu16 from the Alexandria database. Energies are from PBE.

* crystal system: trigonal
* magnetic moment: 0.0 Bohr magnetons per cell
* energy of formation: -90 meV/atom
* electronic total energy: -3.8513 eV per atom
* D(E_F): 0.3234 states/eV/atom

Lattice parameters (Å, degrees): 6.4975 6.4975 6.4975 82.80 82.80 82.80
Fractional coordinates of all 19 atoms:
Li1 0.9057 0.9057 0.9057
Ca1 0.6542 0.6542 0.6542
Ca2 0.3395 0.3395 0.3395
Cu1 0.7027 0.0005 0.2983
Cu2 0.0005 0.2983 0.7027
Cu3 0.2983 0.7027 0.0005
Cu4 0.0005 0.7027 0.2983
Cu5 0.7027 0.2983 0.0005
Cu6 0.2983 0.0005 0.7027
Cu7 0.3417 0.8479 0.3417
Cu8 0.8479 0.3417 0.3417
Cu9 0.3417 0.3417 0.8479
Cu10 0.6563 0.1582 0.6563
Cu11 0.1582 0.6563 0.6563
Cu12 0.6563 0.6563 0.1582
Cu13 0.0013 0.4969 0.0013
Cu14 0.4969 0.0013 0.0013
Cu15 0.0013 0.0013 0.4969
Cu16 0.0963 0.0963 0.0963